Entry 1:
# Ac2NdTe5Au (GGA-PBE, relaxed)
# VASP energy = -4.870 eV per atom
# N(E_F) = 0.20 states/eV/cell
data_Ac2NdTe5Au
_chemical_formula_sum 'Ac4 Nd2 Te10 Au2'
_space_group_name_H-M_alt 'P 1'
_space_group_IT_number 1
_cell_length_a 4.538
_cell_length_b 10.127
_cell_length_c 13.577
_cell_angle_alpha 90.00
_cell_angle_beta 90.00
_cell_angle_gamma 102.95
loop_
_space_group_symop_operation_xyz
'x,y,z'
loop_
_atom_site_label
_atom_site_type_symbol
_atom_site_fract_x
_atom_site_fract_y
_atom_site_fract_z
Te1 Te 0.960 0.920 0.566
Te2 Te 0.645 0.291 0.502
Te3 Te 0.290 0.580 0.672
Te4 Te 0.500 0.000 0.277
Te5 Te 0.306 0.613 0.343
Te6 Te 0.500 0.000 0.777
Te7 Te 0.355 0.709 0.002
Te8 Te 0.040 0.080 0.066
Te9 Te 0.694 0.387 0.843
Te10 Te 0.710 0.420 0.172
Au1 Au 0.572 0.144 0.957
Au2 Au 0.428 0.856 0.457
Ac1 Ac 0.114 0.227 0.687
Ac2 Ac 0.123 0.245 0.311
Ac3 Ac 0.886 0.773 0.187
Ac4 Ac 0.877 0.755 0.811
Nd1 Nd 0.811 0.621 0.509
Nd2 Nd 0.189 0.379 0.009



Entry 2:
# Ac3Nd3Tl2Au (GGA-PBE, relaxed)
# VASP energy = -4.181 eV per atom
# N(E_F) = 10.52 states/eV/cell
data_Ac3Nd3Tl2Au
_chemical_formula_sum 'Ac3 Nd3 Tl2 Au1'
_space_group_name_H-M_alt 'P 1'
_space_group_IT_number 1
_cell_length_a 4.042
_cell_length_b 9.339
_cell_length_c 9.339
_cell_angle_alpha 120.00
_cell_angle_beta 90.00
_cell_angle_gamma 90.00
loop_
_space_group_symop_operation_xyz
'x,y,z'
loop_
_atom_site_label
_atom_site_type_symbol
_atom_site_fract_x
_atom_site_fract_y
_atom_site_fract_z
Ac1 Ac 0.500 0.259 0.259
Ac2 Ac 0.500 0.741 0.000
Ac3 Ac 0.500 0.000 0.741
Nd1 Nd 0.000 0.000 0.401
Nd2 Nd 0.000 0.599 0.599
Nd3 Nd 0.000 0.401 0.000
Tl1 Tl 0.500 0.333 0.667
Tl2 Tl 0.500 0.667 0.333
Au1 Au 0.000 0.000 0.000